Compound: SrFeCl
Source: Alexandria
Functional: PBE
Structure: optimized geometry

* energy relative to the elements, uncorrected: -13.9 kJ per mole of atoms
* total magnetic moment: 3.0 μB/f.u.
* DFT total energy: -12.42 eV per cell

Lattice parameters (Å, degrees): 3.8979 3.8979 6.3187 90.00 90.00 120.00
Closest atoms and distances in Å follow each position.
Positions (direct):
1 Sr 0.3333 0.6667 0.6864  3 Cl 2.96, 3 Fe 3.22
2 Fe 0.6667 0.3333 0.3221  3 Cl 3.07, 3 Sr 3.22
3 Cl 0.0000 0.0000 0.9915  3 Sr 2.96, 3 Fe 3.07

Compound: Sr6PdN
Source: Alexandria
Functional: PBE
Structure: optimized geometry

* energy relative to the elements, uncorrected: -32.3 kJ per mole of atoms
* total magnetic moment: 0.0 μB/f.u.
* DFT total energy: -26.29 eV per cell

Lattice parameters (Å, degrees): 7.1240 7.2721 7.2785 60.03 81.47 72.73
Closest atoms and distances in Å follow each position.
Positions (direct):
1 Sr 0.7353 0.4355 0.7038  1 N 2.67
2 Sr 0.7353 0.1392 0.2962  1 N 2.67
3 Sr 0.2647 0.8608 0.7038  1 N 2.67
4 Sr 0.2647 0.5645 0.2962  1 N 2.67
5 Sr 0.7178 0.7410 0.0000  1 N 2.66
6 Sr 0.2822 0.2590 0.0000  1 N 2.66
7 Pd 0.0000 0.0000 0.0000  6 Sr 3.01-3.14
8 N 0.5000 0.5000 0.0000  6 Sr 2.66-2.67

Compound: La3RuAu
Source: Alexandria
Functional: PBE
Structure: optimized geometry

* ΔE to the lowest computed polymorph: 0.593 eV per atom
* total magnetic moment: 0.0 μB/f.u.
* DFT total energy: -53.61 eV per cell
* ΔE_f: 106 meV per atom

Lattice parameters (Å, degrees): 8.6696 8.6696 5.7769 90.00 90.00 134.58
Closest atoms and distances in Å follow each position.
Positions (direct):
1 Ru 0.4712 0.5288 0.2500  2 La 2.62
2 Ru 0.5288 0.4712 0.7500  2 La 2.62
3 Au 0.1772 0.8228 0.2500  8 La 3.06-3.40
4 Au 0.8228 0.1772 0.7500  8 La 3.06-3.40
5 La 0.1042 0.4223 0.2500  1 Ru 2.62
6 La 0.5777 0.8958 0.2500  1 Ru 2.62
7 La 0.4223 0.1042 0.7500  1 Ru 2.62
8 La 0.8958 0.5777 0.7500  1 Ru 2.62
9 La 0.0000 0.0000 0.0000  2 La 2.89, 2 Au 3.18
10 La 0.0000 0.0000 0.5000  2 La 2.89, 2 Au 3.18

Compound: Nd6Ru2I3N
Source: Alexandria
Functional: PBE
Structure: optimized geometry

* energy relative to the elements, uncorrected: -77.7 kJ per mole of atoms
* total magnetic moment: 0.0 μB/f.u.
* DFT total energy: -69.80 eV per cell

Lattice parameters (Å, degrees): 7.0305 7.0305 8.3803 98.07 98.07 119.82
Closest atoms and distances in Å follow each position.
Positions (direct):
1 Nd 0.9420 0.6304 0.8232  1 N 2.61, 2 Ru 2.80-2.82
2 Nd 0.7450 0.7450 0.1783  1 N 2.64, 2 Ru 2.81
3 Nd 0.0580 0.3696 0.1768  1 N 2.61, 2 Ru 2.80-2.82
4 Nd 0.6304 0.9420 0.8232  1 N 2.61, 2 Ru 2.80-2.82
5 Nd 0.2550 0.2550 0.8217  1 N 2.64, 2 Ru 2.81
6 Nd 0.3696 0.0580 0.1768  1 N 2.61, 2 Ru 2.80-2.82
7 Ru 0.3329 0.6671 0.0000  6 Nd 2.80-2.82
8 Ru 0.6671 0.3329 0.0000  6 Nd 2.80-2.82
9 I 0.1693 0.8307 0.5000  6 Nd 3.45-3.59
10 I 0.8307 0.1693 0.5000  6 Nd 3.45-3.59
11 I 0.5000 0.5000 0.5000  6 Nd 3.46-3.59
12 N 0.0000 0.0000 0.0000  6 Nd 2.61-2.64

Compound: AsRhAu3
Source: Alexandria
Functional: PBE
Structure: optimized geometry

* ΔE to the lowest computed polymorph: 0.000 eV per atom
* total magnetic moment: 1.0 μB/f.u.
* DFT total energy: -17.92 eV per cell
* ΔE_f: 782 meV per atom

Lattice parameters (Å, degrees): 4.8063 4.8063 4.8063 90.00 90.00 90.00
Closest atoms and distances in Å follow each position.
Positions (direct):
1 Rh 0.5000 0.5000 0.5000  12 Au 3.40
2 As 0.0000 0.0000 0.0000  6 Au 2.40
3 Au 0.0000 0.5000 0.0000  2 As 2.40
4 Au 0.0000 0.0000 0.5000  2 As 2.40
5 Au 0.5000 0.0000 0.0000  2 As 2.40

Compound: Ti2ReRhN
Source: Alexandria
Functional: PBE
Structure: optimized geometry

* energy relative to the elements, uncorrected: -46.2 kJ per mole of atoms
* total magnetic moment: 0.0 μB/f.u.
* DFT total energy: -46.31 eV per cell

Lattice parameters (Å, degrees): 4.1039 3.9882 4.1039 90.00 90.00 90.00
Closest atoms and distances in Å follow each position.
Positions (direct):
1 Re 0.5000 0.5000 0.5000  8 Ti 2.86, 4 Rh 2.90
2 N 0.0000 0.0000 0.0000  2 Rh 1.99, 4 Ti 2.05
3 Rh 0.0000 0.5000 0.0000  2 N 1.99
4 Ti 0.0000 0.0000 0.5000  2 N 2.05
5 Ti 0.5000 0.0000 0.0000  2 N 2.05

Question: What is the total magnetic moment in the third record?
Answer: 0.0 μB/f.u.

What did the second record say?
Compound: Sr6PdN
Source: Alexandria
Functional: PBE
Structure: optimized geometry

* energy relative to the elements, uncorrected: -32.3 kJ per mole of atoms
* total magnetic moment: 0.0 μB/f.u.
* DFT total energy: -26.29 eV per cell

Lattice parameters (Å, degrees): 7.1240 7.2721 7.2785 60.03 81.47 72.73
Closest atoms and distances in Å follow each position.
Positions (direct):
1 Sr 0.7353 0.4355 0.7038  1 N 2.67
2 Sr 0.7353 0.1392 0.2962  1 N 2.67
3 Sr 0.2647 0.8608 0.7038  1 N 2.67
4 Sr 0.2647 0.5645 0.2962  1 N 2.67
5 Sr 0.7178 0.7410 0.0000  1 N 2.66
6 Sr 0.2822 0.2590 0.0000  1 N 2.66
7 Pd 0.0000 0.0000 0.0000  6 Sr 3.01-3.14
8 N 0.5000 0.5000 0.0000  6 Sr 2.66-2.67

Question: Which value of DFT total energy does entry 3 give?
Answer: -53.61 eV per cell

Question: Look up the total magnetic moment of the fifth one.
Answer: 1.0 μB/f.u.